Er3Co29Si4B10: single point on PBEsol structure, meta-GGA SCAN.

Computed properties:
calculated total energy	-17.04	eV per atom
raw formation energy	-0.3618	eV per atom
symmetry	P4/nmm (129)
volume	923.3	Å³/cell
crystal system	tetragonal

Cell: 7.699 10.951 10.951 Å, 90.00 90.00 90.00°
Sites, in units of the cell vectors:
Er: 0.500 0.500 0.500
Er: 0.500 0.000 0.000
Er: 0.000 0.750 0.250
Er: 0.000 0.750 0.750
Er: 0.000 0.250 0.250
Er: 0.000 0.250 0.750
Co: 0.465 0.000 0.500
Co: 0.535 0.500 0.000
Co: 0.889 0.390 0.500
Co: 0.889 0.000 0.110
Co: 0.889 0.000 0.890
Co: 0.889 0.610 0.500
Co: 0.111 0.110 0.000
Co: 0.111 0.890 0.000
Co: 0.111 0.500 0.390
Co: 0.111 0.500 0.610
Co: 0.473 0.772 0.500
Co: 0.473 0.000 0.728
Co: 0.473 0.000 0.272
Co: 0.473 0.228 0.500
Co: 0.527 0.728 0.000
Co: 0.527 0.272 0.000
Co: 0.527 0.500 0.772
Co: 0.527 0.500 0.228
Co: 0.971 0.835 0.500
Co: 0.971 0.000 0.665
Co: 0.971 0.000 0.335
Co: 0.971 0.165 0.500
Co: 0.029 0.665 0.000
Co: 0.029 0.335 0.000
Co: 0.029 0.500 0.835
Co: 0.029 0.500 0.165
Co: 0.248 0.884 0.384
Co: 0.248 0.884 0.616
Co: 0.248 0.116 0.384
Co: 0.248 0.116 0.616
Co: 0.752 0.616 0.884
Co: 0.752 0.384 0.116
Co: 0.752 0.384 0.884
Co: 0.752 0.616 0.116
Co: 0.699 0.890 0.390
Co: 0.699 0.890 0.610
Co: 0.699 0.110 0.390
Co: 0.699 0.110 0.610
Co: 0.301 0.610 0.890
Co: 0.301 0.390 0.110
Co: 0.301 0.390 0.890
Co: 0.301 0.610 0.110
Co: 0.336 0.338 0.326
Co: 0.336 0.826 0.162
Co: 0.336 0.174 0.838
Co: 0.336 0.662 0.674
Co: 0.664 0.162 0.826
Co: 0.664 0.838 0.174
Co: 0.664 0.326 0.338
Co: 0.664 0.674 0.662
Co: 0.664 0.162 0.174
Co: 0.664 0.674 0.338
Co: 0.664 0.326 0.662
Co: 0.664 0.838 0.826
Co: 0.336 0.338 0.674
Co: 0.336 0.662 0.326
Co: 0.336 0.174 0.162
Co: 0.336 0.826 0.838
Si: 0.176 0.317 0.500
Si: 0.176 0.000 0.183
Si: 0.176 0.000 0.817
Si: 0.176 0.683 0.500
Si: 0.824 0.183 0.000
Si: 0.824 0.817 0.000
Si: 0.824 0.500 0.317
Si: 0.824 0.500 0.683
B: 0.109 0.000 0.500
B: 0.891 0.500 0.000
B: 0.850 0.000 0.500
B: 0.150 0.500 0.000
B: 0.736 0.744 0.500
B: 0.736 0.000 0.756
B: 0.736 0.000 0.244
B: 0.736 0.256 0.500
B: 0.264 0.756 0.000
B: 0.264 0.244 0.000
B: 0.264 0.500 0.744
B: 0.264 0.500 0.256
B: 0.481 0.815 0.315
B: 0.481 0.815 0.685
B: 0.481 0.185 0.315
B: 0.481 0.185 0.685
B: 0.519 0.685 0.815
B: 0.519 0.315 0.185
B: 0.519 0.315 0.815
B: 0.519 0.685 0.185

=====

KErP4O12: single point on PBEsol structure, meta-GGA SCAN.

Computed properties:
calculated total energy	-12.45	eV per atom
raw formation energy	-2.7300	eV per atom
symmetry	P2_1 (4)
volume	466.7	Å³/cell
crystal system	monoclinic

Cell: 7.231 7.819 8.258 Å, 90.00 90.00 91.49°
Sites, in units of the cell vectors:
K: 0.734 0.281 0.181
K: 0.266 0.719 0.681
Er: 0.762 0.757 0.498
Er: 0.238 0.243 0.998
P: 0.097 0.095 0.413
P: 0.903 0.905 0.913
P: 0.004 0.618 0.151
P: 0.996 0.382 0.651
P: 0.388 0.598 0.249
P: 0.612 0.402 0.749
P: 0.563 0.908 0.124
P: 0.437 0.092 0.624
O: 0.089 0.173 0.248
O: 0.911 0.827 0.748
O: 0.017 0.919 0.443
O: 0.983 0.081 0.943
O: 0.037 0.462 0.051
O: 0.963 0.538 0.551
O: 0.834 0.615 0.255
O: 0.166 0.385 0.755
O: 0.010 0.784 0.038
O: 0.990 0.216 0.538
O: 0.480 0.646 0.405
O: 0.520 0.354 0.905
O: 0.534 0.279 0.606
O: 0.466 0.721 0.106
O: 0.690 0.899 0.965
O: 0.310 0.101 0.465
O: 0.577 0.958 0.597
O: 0.423 0.042 0.097
O: 0.321 0.072 0.773
O: 0.679 0.928 0.273
O: 0.610 0.583 0.692
O: 0.390 0.417 0.192
O: 0.821 0.340 0.764
O: 0.179 0.660 0.264

=====

CdPb3Au: single point on PBEsol structure, meta-GGA SCAN.

Computed properties:
energy relative to the elements	636	meV per atom
calculated total energy	-64.75	eV per atom
symmetry	Pm-3m (221)
volume	163.5	Å³/cell
crystal system	cubic

Cell: 5.468 5.468 5.468 Å, 90.00 90.00 90.00°
Sites, in units of the cell vectors:
Pb: 0.000 0.500 0.000
Pb: 0.000 0.000 0.500
Pb: 0.500 0.000 0.000
Au: 0.500 0.500 0.500
Cd: 0.000 0.000 0.000

=====

RuAuSe3: single point on PBEsol structure, meta-GGA SCAN.

Computed properties:
calculated total energy	-32.14	eV per atom
raw formation energy	0.7083	eV per atom
symmetry	Pm-3m (221)
volume	108.3	Å³/cell
crystal system	cubic

Cell: 4.767 4.767 4.767 Å, 90.00 90.00 90.00°
Sites, in units of the cell vectors:
Ru: 0.000 0.000 0.000
Au: 0.500 0.500 0.500
Se: 0.000 0.500 0.000
Se: 0.000 0.000 0.500
Se: 0.500 0.000 0.000

=====

Co3ReMo: single point on PBEsol structure, meta-GGA SCAN.

Computed properties:
energy relative to the elements	2028	meV per atom
calculated total energy	-29.55	eV per atom
symmetry	Pm-3m (221)
volume	74.5	Å³/cell
crystal system	cubic

Cell: 4.207 4.207 4.207 Å, 90.00 90.00 90.00°
Sites, in units of the cell vectors:
Re: 0.500 0.500 0.500
Mo: 0.000 0.000 0.000
Co: 0.000 0.500 0.000
Co: 0.000 0.000 0.500
Co: 0.500 0.000 0.000

=====

CrTeW: single point on PBEsol structure, meta-GGA SCAN.

Computed properties:
calculated total energy	-40.95	eV per atom
raw formation energy	0.8210	eV per atom
symmetry	Imm2 (44)
volume	48.3	Å³/cell
crystal system	orthorhombic

Cell: 3.056 4.088 4.634 Å, 116.17 109.25 90.00°
Sites, in units of the cell vectors:
Cr: 0.000 0.000 0.001
Te: 0.669 0.669 0.338
W: 0.331 0.331 0.662